The following is a DFT calculation (PBE-GGA) of an optimized crystal structure of MgOsRu2.

- ΔH_f (0 K) (eV per atom) = 0.41
- calculated volume (Å³/atom) = 14.96
- total magnetic moment (μB/cell) = 0.975

Unit cell a=2.721 b=2.721 c=9.012 alpha=90.00 beta=90.00 gamma=116.23
Each line ends with the local moment (μB).
Atoms (fractional coordinates):
Mg1 0.500 0.500 0.250  0.00
Os1 0.500 0.500 0.750  0.29
Ru1 0.000 0.000 0.996  0.34
Ru2 0.000 0.000 0.504  0.34



The following is a DFT calculation (PBE-GGA) of an optimized crystal structure of MgOsRu2.

- ΔH_f (0 K) (eV per atom) = 0.25
- calculated volume (Å³/atom) = 14.54
- total magnetic moment (μB/cell) = 0.000

Unit cell a=4.885 b=4.885 c=4.885 alpha=134.60 beta=134.60 gamma=66.16
Atoms (fractional coordinates):
Mg1 0.500 0.500 0.000
Os1 0.750 0.250 0.500
Ru1 0.000 0.000 0.000
Ru2 0.250 0.750 0.500



The following is a DFT calculation (PBE-GGA) of an optimized crystal structure of MgOsRu2.

- ΔH_f (0 K) (eV per atom) = 0.66
- calculated volume (Å³/atom) = 17.25
- total magnetic moment (μB/cell) = 0.000

Unit cell a=7.246 b=7.246 c=5.759 alpha=51.02 beta=51.02 gamma=90.00
Atoms (fractional coordinates):
Ru1 0.674 0.125 0.250
Ru2 0.076 0.625 0.250
Ru3 0.375 0.326 0.750
Ru4 0.875 0.924 0.750
Mg1 0.500 0.500 0.000
Mg2 0.250 0.750 0.500
Os1 0.000 0.000 0.000
Os2 0.750 0.250 0.500



The following is a DFT calculation (PBE-GGA) of an optimized crystal structure of MgOsRu2.

- ΔH_f (0 K) (eV per atom) = 0.17
- calculated volume (Å³/atom) = 14.86
- total magnetic moment (μB/cell) = 0.000

Unit cell a=9.106 b=9.106 c=9.106 alpha=17.48 beta=17.48 gamma=17.48
Atoms (fractional coordinates):
Mg1 0.250 0.250 0.250
Os1 0.750 0.750 0.750
Ru1 0.004 0.004 0.004
Ru2 0.496 0.496 0.496



The following is a DFT calculation (PBE-GGA) of an optimized crystal structure of MgOsRu2.

- ΔH_f (0 K) (eV per atom) = 0.18
- calculated volume (Å³/atom) = 14.76
- total magnetic moment (μB/cell) = 0.000

Unit cell a=2.774 b=3.740 c=5.691 alpha=90.00 beta=90.00 gamma=90.00
Atoms (fractional coordinates):
Mg1 0.500 0.500 0.250
Os1 0.500 0.500 0.750
Ru1 0.000 0.000 0.986
Ru2 0.000 0.000 0.514



The following is a DFT calculation (PBE-GGA) of an optimized crystal structure of Mg4OsRu.

- ΔH_f (0 K) (eV per atom) = 0.65
- calculated volume (Å³/atom) = 16.72
- total magnetic moment (μB/cell) = 1.434

Unit cell a=5.216 b=5.216 c=5.216 alpha=60.00 beta=60.00 gamma=60.00
Each line ends with the local moment (μB).
Atoms (fractional coordinates):
Mg1 0.874 0.375 0.375  -0.01
Mg2 0.375 0.375 0.874  -0.01
Mg3 0.375 0.874 0.375  -0.01
Mg4 0.375 0.375 0.375  -0.01
Os1 0.750 0.750 0.750  0.71
Ru1 0.000 0.000 0.000  0.79



The following is a DFT calculation (PBE-GGA) of an optimized crystal structure of MgOsRu2.

- ΔH_f (0 K) (eV per atom) = 0.23
- calculated volume (Å³/atom) = 14.53
- total magnetic moment (μB/cell) = 0.000

Unit cell a=2.929 b=4.455 c=4.455 alpha=90.00 beta=90.00 gamma=90.00
Atoms (fractional coordinates):
Mg1 0.500 0.500 0.000
Os1 0.500 0.000 0.500
Ru1 0.000 0.000 0.000
Ru2 0.000 0.500 0.500



The following is a DFT calculation (PBE-GGA) of an optimized crystal structure of MgOsRu2.

- ΔH_f (0 K) (eV per atom) = 0.22
- calculated volume (Å³/atom) = 14.59
- total magnetic moment (μB/cell) = 0.001

Unit cell a=4.711 b=4.711 c=2.743 alpha=90.00 beta=90.00 gamma=106.49
Atoms (fractional coordinates):
Mg1 0.500 0.000 0.500
Os1 0.000 0.500 0.500
Ru1 0.000 0.000 0.000
Ru2 0.500 0.500 0.000



The following is a DFT calculation (PBE-GGA) of an optimized crystal structure of MgOsRu2.

- ΔH_f (0 K) (eV per atom) = 0.19
- calculated volume (Å³/atom) = 14.87
- total magnetic moment (μB/cell) = 0.000

Unit cell a=2.747 b=2.747 c=7.882 alpha=90.00 beta=90.00 gamma=90.00
Atoms (fractional coordinates):
Mg1 0.000 0.000 0.499
Os1 0.500 0.500 0.767
Ru1 0.000 0.000 0.999
Ru2 0.500 0.500 0.235



The following is a DFT calculation (PBE-GGA) of an optimized crystal structure of MgOsRu2.

- ΔH_f (0 K) (eV per atom) = 0.25
- calculated volume (Å³/atom) = 14.56
- total magnetic moment (μB/cell) = 0.003

Unit cell a=4.681 b=4.681 c=4.681 alpha=130.32 beta=130.32 gamma=72.89
Atoms (fractional coordinates):
Mg1 0.250 0.750 0.500
Os1 0.750 0.250 0.500
Ru1 0.000 0.000 0.000
Ru2 0.500 0.500 0.000



The following is a DFT calculation (PBE-GGA) of an optimized crystal structure of MgOsRu2.

- ΔH_f (0 K) (eV per atom) = 0.19
- calculated volume (Å³/atom) = 14.74
- total magnetic moment (μB/cell) = 0.000

Unit cell a=4.729 b=4.729 c=4.823 alpha=81.57 beta=81.57 gamma=33.59
Atoms (fractional coordinates):
Mg1 0.750 0.750 0.750
Os1 0.250 0.250 0.250
Ru1 0.989 0.989 0.017
Ru2 0.511 0.511 0.483



The following is a DFT calculation (PBE-GGA) of an optimized crystal structure of MgOsRu2.

- ΔH_f (0 K) (eV per atom) = 0.42
- calculated volume (Å³/atom) = 14.94
- total magnetic moment (μB/cell) = 1.061

Unit cell a=2.714 b=2.714 c=9.064 alpha=90.00 beta=90.00 gamma=116.46
Each line ends with the local moment (μB).
Atoms (fractional coordinates):
Mg1 0.000 0.000 0.498  0.00
Os1 0.500 0.500 0.755  0.10
Ru1 0.000 0.000 0.001  0.53
Ru2 0.500 0.500 0.246  0.42



| no. | E (eV/atom) |
| --- | --- |
| 1 | -7.44 |
| 2 | -7.59 |
| 3 | -7.18 |
| 4 | -7.68 |
| 5 | -7.67 |
| 6 | -3.83 |
| 7 | -7.61 |
| 8 | -7.62 |
| 9 | -7.66 |
| 10 | -7.59 |
| 11 | -7.65 |
| 12 | -7.43 |